[1]
CsAl2PS: relaxed, PBE-GGA.

extended XYZ file:
```
5
Lattice="4.875 0.000 0.000 0.000 4.875 0.000 0.000 0.000 5.748" Properties=species:S:1:pos:R:3 pbc="T T T"
Cs 0.000 0.000 0.000
Al 0.000 2.437 2.874
Al 2.437 0.000 2.874
P 2.437 2.437 2.874
S 2.437 2.437 0.000
```

Calculated values
Electronic total energy   -3.3600 eV/atom
E_form (uncorrected)   104 kJ/mol of formula units

---

[2]
TbTm2Bi: relaxed, PBE-GGA.

extended XYZ file:
```
8
Lattice="4.608 0.000 0.000 0.000 4.573 0.000 -2.306 0.000 11.287" Properties=species:S:1:pos:R:3 pbc="T T T"
Tb 0.000 1.143 4.340
Tb 2.302 3.430 6.947
Tm 0.000 3.430 1.318
Tm -0.002 3.430 9.971
Tm 2.304 1.143 1.315
Tm 2.302 1.143 9.969
Bi -0.003 1.143 7.538
Bi 2.305 3.430 3.749
```

Calculated values
Electronic total energy   -4.7869 eV/atom

---

[3]
Be2AsO: relaxed, PBE-GGA.

extended XYZ file:
```
4
Lattice="0.000 2.811 2.811 2.811 0.000 2.811 2.811 2.811 0.000" Properties=species:S:1:pos:R:3 pbc="T T T"
Be 1.405 1.405 1.405
Be 4.216 4.216 4.216
As 0.000 0.000 0.000
O 2.811 2.811 2.811
```

Calculated values
Electronic total energy   -3.9204 eV/atom
E_form (uncorrected)   133 kJ/mol of formula units